EuTmScAl GGA-PBE optimized geometry; energy = -24.8 eV per cell; density = 6.40 g cm⁻³; formation energy from the elements = -0.001 eV per formula unit
1.0
-4.8415 -1.6060 1.2140
-1.3168 -0.8014 5.0117
-3.3250 3.2730 2.3927
Eu Sc Tm Al
1 1 1 1
Direct
0.5000 0.5000 0.5000
0.7500 0.7500 0.7500
0.2500 0.2500 0.2500
0.0000 0.0000 0.0000